(1)
This record from the Alexandria database describes a geometry-optimized In12Ga6Sn structure. The functional is GGA-PBE.

a b c (Å): 8.2481 8.2481 8.2481
angles (deg): 98.53 98.53 98.53
Element x y z (fractional)
In1 0.0635 0.9128 0.3414
In2 0.9128 0.3414 0.0635
In3 0.8198 0.5491 0.4139
In4 0.9365 0.0872 0.6586
In5 0.0872 0.6586 0.9365
In6 0.5491 0.4139 0.8198
In7 0.6586 0.9365 0.0872
In8 0.1802 0.4509 0.5861
In9 0.4509 0.5861 0.1802
In10 0.5861 0.1802 0.4509
In11 0.3414 0.0635 0.9128
In12 0.4139 0.8198 0.5491
Ga1 0.5923 0.2925 0.1460
Ga2 0.8540 0.4077 0.7075
Ga3 0.7075 0.8540 0.4077
Ga4 0.1460 0.5923 0.2925
Ga5 0.2925 0.1460 0.5923
Ga6 0.4077 0.7075 0.8540
Sn1 0.0000 0.0000 0.0000

## Properties
**E above lowest polymorph**: 30 meV/atom
**E_tot**: -53.3 eV per cell
**Calculated formation energy**: 0.09 eV per atom

***

(2)
This record from the Alexandria database describes a geometry-optimized CuReOs2 structure. The functional is GGA-PBE.

a b c (Å): 3.7845 3.8560 3.8560
angles (deg): 90.00 90.00 90.00
Element x y z (fractional)
Os1 0.0000 0.5000 0.5000
Os2 0.0000 0.0000 0.0000
Re1 0.5000 0.5000 0.0000
Cu1 0.5000 0.0000 0.5000

## Properties
**E above lowest polymorph**: 259 meV/atom
**E_tot**: -37.2 eV per cell
**Calculated formation energy**: 0.44 eV per atom

***

(3)
This record from the Alexandria database describes a geometry-optimized YHfBr2 structure. The functional is GGA-PBE.

a b c (Å): 9.9322 9.9322 9.9322
angles (deg): 20.15 20.15 20.15
Site moments in Bohr magnetons follow the coordinates.
Element x y z (fractional)
Br1 0.0933 0.0933 0.0933  0.00
Br2 0.9067 0.9067 0.9067  0.00
Hf1 0.0000 0.0000 0.0000  0.24
Y1 0.5000 0.5000 0.5000  0.00

## Properties
**E above lowest polymorph**: 0 meV/atom
**E_tot**: -22.2 eV per cell
**E_form (uncorrected)**: -0.60 eV per atom